No. 1
First-principles (PBE) data for an optimized crystal structure of Ga12Hg5Pb3, as listed in Alexandria via LeMat-Bulk.

Cell lengths 14.2811, 14.2811, 14.2811 Å; angles 109.47, 109.47, 109.47 degrees
With the nearest neighbours (Å) after each atom.
Atoms (fractional coordinates):
Ga 0.0592 0.2242 0.1373  2 Hg 2.73-2.78, 2 Pb 2.96-3.06
Ga 0.0592 0.3350 0.9220  2 Hg 2.73-2.78, 2 Pb 2.96-3.06
Ga 0.0780 0.6373 0.4131  2 Hg 2.73-2.78, 2 Pb 2.96-3.06
Ga 0.0780 0.9408 0.6650  2 Hg 2.73-2.78, 2 Pb 2.96-3.06
Ga 0.0869 0.7242 0.6650  2 Hg 2.73-2.78, 2 Pb 2.96-3.06
Ga 0.0869 0.8627 0.4220  2 Hg 2.73-2.78, 2 Pb 2.96-3.06
Ga 0.1373 0.0592 0.2242  2 Hg 2.73-2.78, 2 Pb 2.96-3.06
Ga 0.1373 0.5780 0.9131  2 Hg 2.73-2.78, 2 Pb 2.96-3.06
Ga 0.1650 0.2242 0.5869  2 Hg 2.73-2.78, 2 Pb 2.96-3.06
Ga 0.1650 0.4408 0.5780  2 Hg 2.73-2.78, 2 Pb 2.96-3.06
Ga 0.2242 0.1373 0.0592  2 Hg 2.73-2.78, 2 Pb 2.96-3.06
Ga 0.2242 0.5869 0.1650  2 Hg 2.73-2.78, 2 Pb 2.96-3.06
Ga 0.2758 0.3350 0.9131  2 Hg 2.73-2.78, 2 Pb 2.96-3.06
Ga 0.2758 0.4408 0.3627  2 Hg 2.73-2.78, 2 Pb 2.96-3.06
Ga 0.3350 0.9131 0.2758  2 Hg 2.73-2.78, 2 Pb 2.96-3.06
Ga 0.3350 0.9220 0.0592  2 Hg 2.73-2.78, 2 Pb 2.96-3.06
Ga 0.3627 0.2758 0.4408  2 Hg 2.73-2.78, 2 Pb 2.96-3.06
Ga 0.3627 0.5869 0.9220  2 Hg 2.73-2.78, 2 Pb 2.96-3.06
Ga 0.4131 0.0780 0.6373  2 Hg 2.73-2.78, 2 Pb 2.96-3.06
Ga 0.4131 0.8350 0.7758  2 Hg 2.73-2.78, 2 Pb 2.96-3.06
Ga 0.4220 0.0869 0.8627  2 Hg 2.73-2.78, 2 Pb 2.96-3.06
Ga 0.4220 0.8350 0.5592  2 Hg 2.73-2.78, 2 Pb 2.96-3.06
Ga 0.4408 0.3627 0.2758  2 Hg 2.73-2.78, 2 Pb 2.96-3.06
Ga 0.4408 0.5780 0.1650  2 Hg 2.73-2.78, 2 Pb 2.96-3.06
Ga 0.5592 0.4220 0.8350  2 Hg 2.73-2.78, 2 Pb 2.96-3.06
Ga 0.5592 0.6373 0.7242  2 Hg 2.73-2.78, 2 Pb 2.96-3.06
Ga 0.5780 0.1650 0.4408  2 Hg 2.73-2.78, 2 Pb 2.96-3.06
Ga 0.5780 0.9131 0.1373  2 Hg 2.73-2.78, 2 Pb 2.96-3.06
Ga 0.5869 0.1650 0.2242  2 Hg 2.73-2.78, 2 Pb 2.96-3.06
Ga 0.5869 0.9220 0.3627  2 Hg 2.73-2.78, 2 Pb 2.96-3.06
Ga 0.6373 0.4131 0.0780  2 Hg 2.73-2.78, 2 Pb 2.96-3.06
Ga 0.6373 0.7242 0.5592  2 Hg 2.73-2.78, 2 Pb 2.96-3.06
Ga 0.6650 0.0780 0.9408  2 Hg 2.73-2.78, 2 Pb 2.96-3.06
Ga 0.6650 0.0869 0.7242  2 Hg 2.73-2.78, 2 Pb 2.96-3.06
Ga 0.7242 0.5592 0.6373  2 Hg 2.73-2.78, 2 Pb 2.96-3.06
Ga 0.7242 0.6650 0.0869  2 Hg 2.73-2.78, 2 Pb 2.96-3.06
Ga 0.7758 0.4131 0.8350  2 Hg 2.73-2.78, 2 Pb 2.96-3.06
Ga 0.7758 0.8627 0.9408  2 Hg 2.73-2.78, 2 Pb 2.96-3.06
Ga 0.8350 0.5592 0.4220  2 Hg 2.73-2.78, 2 Pb 2.96-3.06
Ga 0.8350 0.7758 0.4131  2 Hg 2.73-2.78, 2 Pb 2.96-3.06
Ga 0.8627 0.4220 0.0869  2 Hg 2.73-2.78, 2 Pb 2.96-3.06
Ga 0.8627 0.9408 0.7758  2 Hg 2.73-2.78, 2 Pb 2.96-3.06
Ga 0.9131 0.1373 0.5780  2 Hg 2.73-2.78, 2 Pb 2.96-3.06
Ga 0.9131 0.2758 0.3350  2 Hg 2.73-2.78, 2 Pb 2.96-3.06
Ga 0.9220 0.0592 0.3350  2 Hg 2.73-2.78, 2 Pb 2.96-3.06
Ga 0.9220 0.3627 0.5869  2 Hg 2.73-2.78, 2 Pb 2.96-3.06
Ga 0.9408 0.6650 0.0780  2 Hg 2.73-2.78, 2 Pb 2.96-3.06
Ga 0.9408 0.7758 0.8627  2 Hg 2.73-2.78, 2 Pb 2.96-3.06
Hg 0.0000 0.0000 0.0000  6 Ga 2.78
Hg 0.0000 0.0000 0.5000  6 Ga 2.78
Hg 0.0000 0.5000 0.0000  6 Ga 2.78
Hg 0.0000 0.5000 0.5000  6 Ga 2.78
Hg 0.1250 0.7500 0.8750  4 Ga 2.73
Hg 0.1250 0.8750 0.2500  4 Ga 2.73
Hg 0.2500 0.1250 0.8750  4 Ga 2.73
Hg 0.2500 0.6250 0.3750  4 Ga 2.73
Hg 0.3750 0.2500 0.6250  4 Ga 2.73
Hg 0.3750 0.6250 0.7500  4 Ga 2.73
Hg 0.5000 0.0000 0.0000  6 Ga 2.78
Hg 0.5000 0.0000 0.5000  6 Ga 2.78
Hg 0.5000 0.5000 0.0000  6 Ga 2.78
Hg 0.5000 0.5000 0.5000  6 Ga 2.78
Hg 0.6250 0.3750 0.2500  4 Ga 2.73
Hg 0.6250 0.7500 0.3750  4 Ga 2.73
Hg 0.7500 0.3750 0.6250  4 Ga 2.73
Hg 0.7500 0.8750 0.1250  4 Ga 2.73
Hg 0.8750 0.1250 0.7500  4 Ga 2.73
Hg 0.8750 0.2500 0.1250  4 Ga 2.73
Pb 0.1250 0.2500 0.3750  8 Ga 2.96-3.06
Pb 0.1250 0.3750 0.7500  8 Ga 2.96-3.06
Pb 0.2500 0.3750 0.1250  8 Ga 2.96-3.06
Pb 0.2500 0.8750 0.6250  8 Ga 2.96-3.06
Pb 0.3750 0.1250 0.2500  8 Ga 2.96-3.06
Pb 0.3750 0.7500 0.1250  8 Ga 2.96-3.06
Pb 0.6250 0.2500 0.8750  8 Ga 2.96-3.06
Pb 0.6250 0.8750 0.7500  8 Ga 2.96-3.06
Pb 0.7500 0.1250 0.3750  8 Ga 2.96-3.06
Pb 0.7500 0.6250 0.8750  8 Ga 2.96-3.06
Pb 0.8750 0.6250 0.2500  8 Ga 2.96-3.06
Pb 0.8750 0.7500 0.6250  8 Ga 2.96-3.06



No. 2
First-principles (PBE) data for an optimized crystal structure of GaHg3Pb, as listed in Alexandria via LeMat-Bulk.

Cell lengths 12.9878, 6.7536, 6.0390 Å; angles 90.00, 90.00, 90.00 degrees
With the nearest neighbours (Å) after each atom.
Atoms (fractional coordinates):
Ga 0.1083 0.2500 0.0000  6 Hg 2.86-3.02, 2 Ga 3.02
Ga 0.1083 0.2500 0.5000  6 Hg 2.86-3.02, 2 Ga 3.02
Ga 0.8917 0.7500 0.0000  6 Hg 2.86-3.02, 2 Ga 3.02
Ga 0.8917 0.7500 0.5000  6 Hg 2.86-3.02, 2 Ga 3.02
Hg 0.0768 0.6330 0.2500  4 Ga 2.95-3.02, 1 Pb 3.19
Hg 0.0768 0.8670 0.7500  4 Ga 2.95-3.02, 1 Pb 3.19
Hg 0.2596 0.0380 0.2500  2 Ga 2.86, 1 Pb 3.15
Hg 0.2596 0.4620 0.7500  2 Ga 2.86, 1 Pb 3.15
Hg 0.4669 0.2500 0.0000  2 Hg 3.02, 4 Pb 3.32
Hg 0.4669 0.2500 0.5000  2 Hg 3.02, 4 Pb 3.32
Hg 0.5331 0.7500 0.0000  2 Hg 3.02, 4 Pb 3.32
Hg 0.5331 0.7500 0.5000  2 Hg 3.02, 4 Pb 3.32
Hg 0.7404 0.5380 0.2500  2 Ga 2.86, 1 Pb 3.15
Hg 0.7404 0.9620 0.7500  2 Ga 2.86, 1 Pb 3.15
Hg 0.9232 0.1330 0.2500  4 Ga 2.95-3.02, 1 Pb 3.19
Hg 0.9232 0.3670 0.7500  4 Ga 2.95-3.02, 1 Pb 3.19
Pb 0.3215 0.5876 0.2500  8 Hg 3.15-3.32
Pb 0.3215 0.9124 0.7500  8 Hg 3.15-3.32
Pb 0.6785 0.0876 0.2500  8 Hg 3.15-3.32
Pb 0.6785 0.4124 0.7500  8 Hg 3.15-3.32



No. 3
First-principles (PBE) data for an optimized crystal structure of GaHgPb2, as listed in Alexandria via LeMat-Bulk.

Cell lengths 3.3870, 3.3870, 22.7553 Å; angles 90.00, 90.00, 120.00 degrees
With the nearest neighbours (Å) after each atom.
Atoms (fractional coordinates):
Ga 0.0000 0.0000 0.0000  6 Pb 3.26, 6 Ga 3.39
Ga 0.0000 0.0000 0.5000  6 Pb 3.26, 6 Ga 3.39
Hg 0.3333 0.6667 0.2500  6 Hg 3.39, 6 Pb 3.65
Hg 0.6667 0.3333 0.7500  6 Hg 3.39, 6 Pb 3.65
Pb 0.3333 0.6667 0.6145  3 Ga 3.26, 6 Pb 3.39
Pb 0.3333 0.6667 0.8855  3 Ga 3.26, 6 Pb 3.39
Pb 0.6667 0.3333 0.1145  3 Ga 3.26, 6 Pb 3.39
Pb 0.6667 0.3333 0.3855  3 Ga 3.26, 6 Pb 3.39



Calculated formation enthalpy at 0 K in order - 3.76, 0.30, 0.30 eV/f.u.
Calculated raw total energy in order - -2.26, -1.47, -2.61 eV per atom
Calculated mass density in order - 7.29, 11.02, 10.06 g cm⁻³